Density functional theory data (PBE-GGA) for a relaxed structure of LiFeSe.

Cell lengths 4.8776, 4.8776, 4.8776 Å; angles 142.76, 142.76, 53.69 degrees
Fractional positions:
Li 0.0000 0.0000 0.0000
Fe 0.6972 0.6972 0.0000
Se 0.3075 0.3075 0.0000

**Raw formation energy**: -0.1275 eV per atom
**D(E_F)**: 0.292 states/eV/atom
**Polymorph energy (0 for the lowest one)**: 314 meV per atom